DFT (PBE-GGA) results for MgZnCu4B2 after structural relaxation.

Unit cell a=3.9806 b=3.9806 c=5.6643 alpha=90.00 beta=90.00 gamma=90.00
Fractional positions:
Mg: 0.0000 0.0000 0.0000
Zn: 0.5000 0.5000 0.5000
Cu: 0.0000 0.5000 0.2593
Cu: 0.0000 0.5000 0.7407
Cu: 0.5000 0.0000 0.2593
Cu: 0.5000 0.0000 0.7407
B: 0.0000 0.0000 0.5000
B: 0.5000 0.5000 0.0000

***

DFT (PBE-GGA) results for GaCuReAu after structural relaxation.

Unit cell a=4.4213 b=4.4213 c=4.4213 alpha=60.00 beta=60.00 gamma=60.00
Fractional positions:
Ga: 0.0000 0.0000 0.0000
Cu: 0.2500 0.2500 0.2500
Re: 0.7500 0.7500 0.7500
Au: 0.5000 0.5000 0.5000

Results
As for the total magnetic moment: 1.27 μB per cell. The value obtained for the energy above the most stable polymorph in this dataset is 0.0000 eV/atom.

***

DFT (PBE-GGA) results for CdPd7 after structural relaxation.

Unit cell a=2.8377 b=2.8377 c=43.1674 alpha=90.00 beta=90.00 gamma=90.00
Fractional positions:
Cd: 0.2500 0.2500 0.1623
Cd: 0.7500 0.7500 0.8377
Pd: 0.2500 0.2500 0.2548
Pd: 0.2500 0.2500 0.3446
Pd: 0.2500 0.2500 0.4334
Pd: 0.2500 0.2500 0.5221
Pd: 0.2500 0.2500 0.6109
Pd: 0.2500 0.2500 0.7000
Pd: 0.2500 0.2500 0.7912
Pd: 0.7500 0.7500 0.2088
Pd: 0.7500 0.7500 0.3000
Pd: 0.7500 0.7500 0.3891
Pd: 0.7500 0.7500 0.4779
Pd: 0.7500 0.7500 0.5666
Pd: 0.7500 0.7500 0.6554
Pd: 0.7500 0.7500 0.7452

Results
The energy of formation comes out at -14 meV/atom.

***

DFT (PBE-GGA) results for GdHo2Cd3Ir2Pt after structural relaxation.

Unit cell a=3.9368 b=7.5025 c=7.5025 alpha=120.11 beta=90.00 gamma=90.00
Fractional positions:
Gd: 0.0000 0.0000 0.0000
Ho: 0.0000 0.1854 0.5922
Ho: 0.0000 0.5922 0.1854
Cd: 0.5000 0.3326 0.3326
Cd: 0.5000 0.5923 0.8514
Cd: 0.5000 0.8514 0.5923
Ir: 0.5000 0.2610 0.9247
Ir: 0.5000 0.9247 0.2610
Pt: 0.0000 0.5900 0.5900

Results
As for the total magnetic moment: 0.00 μB per cell. The energy of formation comes out at -666 meV/atom.

***

DFT (PBE-GGA) results for Re2NiSn after structural relaxation.

Unit cell a=4.4152 b=4.4152 c=4.4152 alpha=60.00 beta=60.00 gamma=60.00
Fractional positions:
Re: 0.0000 0.0000 0.0000
Re: 0.2500 0.2500 0.2500
Ni: 0.7500 0.7500 0.7500
Sn: 0.5000 0.5000 0.5000

Results
As for the total magnetic moment: 0.02 μB per cell.

***

DFT (PBE-GGA) results for GdY2Sn5Pb2 after structural relaxation.

Unit cell a=13.5338 b=13.5338 c=4.5614 alpha=90.00 beta=90.00 gamma=161.22
Fractional positions:
Gd: 0.0000 0.0000 0.0000
Y: 0.3090 0.6910 0.5000
Y: 0.6910 0.3090 0.5000
Sn: 0.0959 0.9041 0.5000
Sn: 0.2113 0.7887 0.0000
Sn: 0.5000 0.5000 0.5000
Sn: 0.7887 0.2113 0.0000
Sn: 0.9041 0.0959 0.5000
Pb: 0.4020 0.5980 0.0000
Pb: 0.5980 0.4020 0.0000

Results
As for the total magnetic moment: 0.00 μB per cell. The value obtained for the energy above the most stable polymorph in this dataset is 0.0000 eV/atom.

***

DFT (PBE-GGA) results for KTbSmTe3 after structural relaxation.

Unit cell a=8.4945 b=8.4945 c=12.0039 alpha=90.00 beta=90.00 gamma=147.26
Fractional positions:
K: 0.2435 0.7565 0.7500
K: 0.7565 0.2435 0.2500
Tb: 0.0326 0.9674 0.2500
Tb: 0.9674 0.0326 0.7500
Sm: 0.5000 0.5000 0.0000
Sm: 0.5000 0.5000 0.5000
Te: 0.1306 0.8694 0.0458
Te: 0.1306 0.8694 0.4542
Te: 0.4257 0.5743 0.2500
Te: 0.5743 0.4257 0.7500
Te: 0.8694 0.1306 0.5458
Te: 0.8694 0.1306 0.9542

Results
As for the total magnetic moment: 0.31 μB per cell.

***

DFT (PBE-GGA) results for Zr4Ga3W2N3 after structural relaxation.

Unit cell a=5.5929 b=5.5929 c=13.7313 alpha=101.94 beta=101.94 gamma=59.94
Fractional positions:
Zr: 0.0290 0.2027 0.0956
Zr: 0.1379 0.3004 0.4044
Zr: 0.2027 0.0290 0.5956
Zr: 0.3004 0.1379 0.9044
Zr: 0.6996 0.8621 0.0956
Zr: 0.7973 0.9710 0.4044
Zr: 0.8621 0.6996 0.5956
Zr: 0.9710 0.7973 0.9044
Ga: 0.1295 0.8705 0.2500
Ga: 0.3040 0.4129 0.7492
Ga: 0.4129 0.3040 0.2492
Ga: 0.5871 0.6960 0.7508
Ga: 0.6960 0.5871 0.2508
Ga: 0.8705 0.1295 0.7500
W: 0.3678 0.5274 0.0807
W: 0.4726 0.6322 0.4193
W: 0.5274 0.3678 0.5807
W: 0.6322 0.4726 0.9193
N: 0.0000 0.5000 0.0000
N: 0.1572 0.6712 0.5000
N: 0.3288 0.8428 0.0000
N: 0.5000 0.0000 0.5000
N: 0.6712 0.1572 0.0000
N: 0.8428 0.3288 0.5000

Results
As for the total magnetic moment: 0.02 μB per cell.

***

DFT (PBE-GGA) results for LiBeCuB after structural relaxation.

Unit cell a=3.6598 b=3.6598 c=3.6598 alpha=60.00 beta=60.00 gamma=60.00
Fractional positions:
Li: 0.0000 0.0000 0.0000
Be: 0.7500 0.7500 0.7500
Cu: 0.2500 0.2500 0.2500
B: 0.5000 0.5000 0.5000

Results
The value obtained for the energy above the most stable polymorph in this dataset is 0.0000 eV/atom.

***

DFT (PBE-GGA) results for PuPa2Se5 after structural relaxation.

Unit cell a=8.5110 b=8.5110 c=8.5110 alpha=126.07 beta=126.07 gamma=79.77
Fractional positions:
Pu: 0.2500 0.2500 0.0000
Pu: 0.7500 0.7500 0.0000
Pa: 0.1502 0.6502 0.8005
Pa: 0.3498 0.1502 0.5000
Pa: 0.6502 0.8498 0.5000
Pa: 0.8498 0.3498 0.1995
Se: 0.0000 0.0000 0.0000
Se: 0.0103 0.1994 0.5000
Se: 0.1994 0.6994 0.1891
Se: 0.3006 0.4897 0.5000
Se: 0.4897 0.9897 0.1891
Se: 0.5000 0.5000 0.0000
Se: 0.5103 0.0103 0.8109
Se: 0.6994 0.5103 0.5000
Se: 0.8006 0.3006 0.8109
Se: 0.9897 0.8006 0.5000

Results
As for the total magnetic moment: 15.96 μB per cell.

***

DFT (PBE-GGA) results for NdGdS2F2 after structural relaxation.

Unit cell a=3.8468 b=3.8468 c=6.8779 alpha=90.00 beta=90.00 gamma=90.00
Fractional positions:
Nd: 0.0000 0.0000 0.0000
Gd: 0.5000 0.5000 0.5412
S: 0.0000 0.0000 0.4193
S: 0.5000 0.5000 0.1320
F: 0.0000 0.5000 0.7668
F: 0.5000 0.0000 0.7668

Results
As for the total magnetic moment: 0.00 μB per cell.

***

DFT (PBE-GGA) results for HgAu15 after structural relaxation.

Unit cell a=4.0845 b=4.0838 c=44.9465 alpha=90.00 beta=90.00 gamma=90.00
Fractional positions:
Hg: 0.2500 0.0000 0.1350
Hg: 0.7500 0.0000 0.8650
Au: 0.2500 0.0000 0.2399
Au: 0.2500 0.0000 0.3343
Au: 0.2500 0.0000 0.4290
Au: 0.2500 0.0000 0.5237
Au: 0.2500 0.0000 0.6184
Au: 0.2500 0.0000 0.7131
Au: 0.2500 0.0000 0.8079
Au: 0.2500 0.5000 0.1921
Au: 0.2500 0.5000 0.2869
Au: 0.2500 0.5000 0.3815
Au: 0.2500 0.5000 0.4763
Au: 0.2500 0.5000 0.5710
Au: 0.2500 0.5000 0.6659
Au: 0.2500 0.5000 0.7608
Au: 0.2500 0.5000 0.8543
Au: 0.7500 0.0000 0.1921
Au: 0.7500 0.0000 0.2869
Au: 0.7500 0.0000 0.3816
Au: 0.7500 0.0000 0.4763
Au: 0.7500 0.0000 0.5710
Au: 0.7500 0.0000 0.6657
Au: 0.7500 0.0000 0.7601
Au: 0.7500 0.5000 0.1457
Au: 0.7500 0.5000 0.2392
Au: 0.7500 0.5000 0.3341
Au: 0.7500 0.5000 0.4290
Au: 0.7500 0.5000 0.5237
Au: 0.7500 0.5000 0.6185
Au: 0.7500 0.5000 0.7131
Au: 0.7500 0.5000 0.8079

Results
The energy of formation comes out at 36 meV/atom. The value obtained for the energy above the most stable polymorph in this dataset is 0.0000 eV/atom.

***

For the records above, the corresponding electronic total energy values read -3.451; -5.172; -4.655; -5.140; -8.211; -4.997; -4.528; -8.613; -3.833; -7.747; -6.573; -3.045 eV per atom.